Density functional theory data (PBE) for a relaxed structure of Tb3Al2Ga3.

Calculated values
Raw total energy (eV per atom): -4.399
Fermi-level density of states (states/eV/cell): 25.39
Energy of formation from the pure elements (eV per atom): -0.592

Cell lengths 4.335, 10.995, 14.556 Å; angles 90.00, 90.00, 90.00 degrees
Space group Cmcm (No. 63)
Asymmetric unit:
Tb1 0.000 0.074 0.115 [8 per cell]
Tb2 0.000 0.358 0.250 [4 per cell]
Al1 0.000 0.218 0.598 [8 per cell]
Ga1 0.000 0.353 0.750 [4 per cell]
Ga2 0.000 0.388 0.040 [8 per cell]

---

Density functional theory data (PBE) for a relaxed structure of KNa2I3.

Calculated values
Raw total energy (eV per atom): -2.596
Fermi-level density of states (states/eV/cell): 0.00
Formation energy (no corrections) (meV/atom): -1198

Cell lengths 10.632, 15.745, 7.126 Å; angles 90.00, 90.00, 90.00 degrees
Space group Cmcm (No. 63)
Asymmetric unit:
K1 0.000 0.243 0.250 [4 per cell]
Na1 0.187 0.000 0.000 [8 per cell]
I1 0.000 0.103 0.750 [4 per cell]
I2 0.208 0.363 0.750 [8 per cell]

---

Density functional theory data (PBE) for a relaxed structure of NbFeNiIr.

Calculated values
Raw total energy (eV per atom): -8.614
Fermi-level density of states (states/eV/cell): 1.60
Energy of formation from the pure elements (eV per atom): -0.320

Cell lengths 3.762, 3.782, 3.827 Å; angles 90.00, 90.00, 90.00 degrees
Space group Pmmm (No. 47)
Asymmetric unit:
Nb1 0.000 0.000 0.000 [1 per cell]
Fe1 0.500 0.500 0.000 [1 per cell]
Ni1 0.500 0.000 0.500 [1 per cell]
Ir1 0.000 0.500 0.500 [1 per cell]

---

Density functional theory data (PBE) for a relaxed structure of Ta2CrPt.

Calculated values
Raw total energy (eV per atom): -10.031
Fermi-level density of states (states/eV/cell): 3.48
Energy of formation from the pure elements (eV per atom): -0.189

Cell lengths 3.256, 3.256, 6.158 Å; angles 90.00, 90.00, 90.00 degrees
Space group P4mm (No. 99)
Asymmetric unit:
Ta1 0.000 0.000 0.000 [1 per cell]
Ta2 0.500 0.500 0.278 [1 per cell]
Cr1 0.000 0.000 0.498 [1 per cell]
Pt1 0.500 0.500 0.758 [1 per cell]

---

Density functional theory data (PBE) for a relaxed structure of Ta2CdPt.

Calculated values
Raw total energy (eV per atom): -7.740
Fermi-level density of states (states/eV/cell): 5.50
Energy of formation from the pure elements (eV per atom): -0.074

Cell lengths 5.777, 8.577, 2.839 Å; angles 90.00, 90.00, 90.00 degrees
Space group Cmmm (No. 65)
Asymmetric unit:
Ta1 0.250 0.250 0.000 [4 per cell]
Cd1 0.000 0.000 0.500 [2 per cell]
Pt1 0.000 0.500 0.500 [2 per cell]

---

Density functional theory data (PBE) for a relaxed structure of HgAsOs3.

Calculated values
Raw total energy (eV per atom): -6.099
Fermi-level density of states (states/eV/cell): 6.38
Energy of formation from the pure elements (eV per atom): 1.629

Cell lengths 4.562, 4.562, 4.562 Å; angles 90.00, 90.00, 90.00 degrees
Space group Pm-3m (No. 221)
Asymmetric unit:
Hg1 0.000 0.000 0.000 [1 per cell]
As1 0.500 0.500 0.500 [1 per cell]
Os1 0.000 0.500 0.500 [3 per cell]

---

Density functional theory data (PBE) for a relaxed structure of AcBePtO4.

Calculated values
Raw total energy (eV per atom): -6.525
Fermi-level density of states (states/eV/cell): 18.02
Formation energy (no corrections) (meV/atom): -1710

Cell lengths 6.156, 8.941, 6.998 Å; angles 90.00, 90.00, 90.00 degrees
Space group Cmcm (No. 63)
Asymmetric unit:
Ac1 0.000 0.000 0.000 [4 per cell]
Be1 0.000 0.381 0.250 [4 per cell]
Pt1 0.000 0.312 0.750 [4 per cell]
O1 0.000 0.284 0.040 [8 per cell]
O2 0.211 0.493 0.250 [8 per cell]

---

Density functional theory data (PBE) for a relaxed structure of TiTcGe3.

Calculated values
Raw total energy (eV per atom): -5.746
Fermi-level density of states (states/eV/cell): 10.91
Energy of formation from the pure elements (eV per atom): 0.676

Cell lengths 4.768, 4.768, 4.768 Å; angles 90.00, 90.00, 90.00 degrees
Space group Pm-3m (No. 221)
Asymmetric unit:
Ti1 0.000 0.000 0.000 [1 per cell]
Tc1 0.500 0.500 0.500 [1 per cell]
Ge1 0.000 0.500 0.500 [3 per cell]

---

Density functional theory data (PBE) for a relaxed structure of LaMg2Si.

Calculated values
Raw total energy (eV per atom): -3.544
Fermi-level density of states (states/eV/cell): 3.42
Formation energy (no corrections) (meV/atom): -160

Cell lengths 3.246, 4.045, 7.250 Å; angles 90.00, 90.00, 90.00 degrees
Space group Pmm2 (No. 25)
Asymmetric unit:
La1 0.000 0.000 0.000 [1 per cell]
Mg1 0.000 0.000 0.555 [1 per cell]
Mg2 0.500 0.500 0.332 [1 per cell]
Si1 0.500 0.500 0.739 [1 per cell]

---

Density functional theory data (PBE) for a relaxed structure of AlP3H2O10.

Calculated values
Raw total energy (eV per atom): -6.884
Fermi-level density of states (states/eV/cell): 0.00

Cell lengths 7.377, 8.644, 12.526 Å; angles 90.00, 112.66, 90.00 degrees
Space group P2_1/c (No. 14)
Asymmetric unit:
Al1 0.244 0.061 0.205 [4 per cell]
P1 0.142 0.120 0.794 [4 per cell]
P2 0.202 0.614 0.475 [4 per cell]
P3 0.359 0.115 0.641 [4 per cell]
H1 0.237 0.135 0.449 [4 per cell]
H2 0.249 0.686 0.884 [4 per cell]
O1 0.016 0.140 0.086 [4 per cell]
O2 0.076 0.584 0.748 [4 per cell]
O3 0.198 0.210 0.313 [4 per cell]
O4 0.218 0.081 0.514 [4 per cell]
O5 0.227 0.043 0.708 [4 per cell]
O6 0.258 0.037 0.915 [4 per cell]
O7 0.283 0.581 0.603 [4 per cell]
O8 0.322 0.748 0.954 [4 per cell]
O9 0.393 0.215 0.171 [4 per cell]
O10 0.457 0.519 0.826 [4 per cell]

---

Density functional theory data (PBE) for a relaxed structure of IrOsAu2Se.

Calculated values
Raw total energy (eV per atom): -4.458
Fermi-level density of states (states/eV/cell): 7.47
Formation energy (no corrections) (meV/atom): 1568

Cell lengths 5.033, 5.033, 4.679 Å; angles 90.00, 90.00, 90.00 degrees
Space group P4/mmm (No. 123)
Asymmetric unit:
Ir1 0.000 0.000 0.000 [1 per cell]
Os1 0.000 0.000 0.500 [1 per cell]
Au1 0.000 0.500 0.500 [2 per cell]
Se1 0.500 0.500 0.000 [1 per cell]

---

Density functional theory data (PBE) for a relaxed structure of OsPd3Pt6.

Calculated values
Raw total energy (eV per atom): -6.295
Fermi-level density of states (states/eV/cell): 17.31
Energy of formation from the pure elements (eV per atom): 0.010

Cell lengths 2.7879, 2.7879, 22.8913 Å; angles 90.00, 90.00, 120.00 degrees
Space group P-3m1 (No. 164)
Asymmetric unit:
Os1 0.0000 0.0000 0.0000 [1 per cell]
Pd1 0.0000 0.0000 0.1975 [2 per cell]
Pd2 0.0000 0.0000 0.5000 [1 per cell]
Pt1 0.3333 0.6667 0.2979 [2 per cell]
Pt2 0.3333 0.6667 0.6000 [2 per cell]
Pt3 0.3333 0.6667 0.9043 [2 per cell]

---

Which of these has the highest Fermi-level density of states?
Tb3Al2Ga3

---

The highest Fermi-level density of states belongs to which entry?
Tb3Al2Ga3

---

The lowest raw total energy belongs to which entry?
Ta2CrPt